Entry 1:
# MgNiBi

A geometry-optimized MgNiBi structure (PBE-GGA, Alexandria via LeMat-Bulk).

Output
Polymorph energy (0 for the lowest one), eV/f.u.: 0.00

Lattice parameters (Å, degrees): 6.2778 6.2778 6.2778 90.00 90.00 90.00
With the nearest neighbours (Å) after each atom.
Space group F-43m (No. 216)
Symmetry-distinct sites (fractional):
Mg  0.0000  0.0000  0.0000  4 Ni 2.72
Ni  0.2500  0.2500  0.2500  4 Mg 2.72, 4 Bi 2.72
Bi  0.0000  0.0000  0.5000  4 Ni 2.72

---

Entry 2:
# MgNiBi

A geometry-optimized MgNiBi structure (PBE-GGA, Alexandria via LeMat-Bulk).

Output
Polymorph energy (0 for the lowest one), eV/f.u.: 0.11

Lattice parameters (Å, degrees): 4.3907 4.3907 6.3183 90.00 90.00 90.00
With the nearest neighbours (Å) after each atom.
Space group P4/nmm (No. 129, origin choice 2)
Symmetry-distinct sites (fractional):
Mg  0.2500  0.2500  0.2461  4 Ni 2.69
Ni  0.2500  0.7500  0.0000  4 Mg 2.69, 4 Bi 2.77
Bi  0.2500  0.2500  0.7323  4 Ni 2.77, 1 Mg 3.07

---

Entry 3:
# MgNi2Bi

A geometry-optimized MgNi2Bi structure (PBE-GGA, Alexandria via LeMat-Bulk).

Lattice parameters (Å, degrees): 4.1446 4.1446 17.3759 90.00 90.00 90.00
With the nearest neighbours (Å) after each atom.
Space group I-42d (No. 122)
Symmetry-distinct sites (fractional):
Mg  0.0000  0.0000  0.0000  4 Ni 2.59
Ni  0.2278  0.2500  0.1250  2 Mg 2.59, 2 Bi 2.66, 2 Ni 2.80
Bi  0.0000  0.0000  0.5000  4 Ni 2.66, 4 Mg 2.93

---

Number 1: VASP energy -3.953 eV per atom, ΔH_f (0 K) -200 meV/atom. Number 2: VASP energy -3.917 eV per atom, ΔH_f (0 K) -165 meV/atom. Number 3: VASP energy -3.900 eV per atom, ΔH_f (0 K) 360 meV/atom.